one) A crystal of HfInCl2 relaxed with PBEsol. Source: Alexandria, functional SCAN.

a b c (Å): 4.7817 4.7817 4.7817
angles (deg): 60.00 60.00 60.00
Positions (direct):
1 Cl 0.2500 0.2500 0.2500
2 Cl 0.7500 0.7500 0.7500
3 Hf 0.5000 0.5000 0.5000
4 In 0.0000 0.0000 0.0000



two) A crystal of HfInCl2 relaxed with PBEsol. Source: Alexandria, functional SCAN.

a b c (Å): 3.2103 3.2103 10.2025
angles (deg): 80.95 80.95 60.00
Positions (direct):
1 Cl 0.8931 0.8931 0.3207
2 Cl 0.1069 0.1069 0.6793
3 Hf 0.5000 0.5000 0.5000
4 In 0.0000 0.0000 0.0000



Least stable: one)



one) A crystal of NaHfCl2 relaxed with PBEsol. Source: Alexandria, functional SCAN.

a b c (Å): 3.2442 3.2442 10.2277
angles (deg): 80.87 80.87 60.00
Positions (direct):
1 Na 0.0000 0.0000 0.0000
2 Hf 0.5000 0.5000 0.5000
3 Cl 0.8930 0.8930 0.3210
4 Cl 0.1070 0.1070 0.6790



two) A crystal of NaHfCl2 relaxed with PBEsol. Source: Alexandria, functional SCAN.

a b c (Å): 6.2019 6.2019 6.2019
angles (deg): 106.95 110.75 110.75
Each line ends with the local moment (μB).
Positions (direct):
1 Na 0.0000 0.5000 0.5000  0.01
2 Na 0.5000 0.2500 0.7500  0.01
3 Hf 0.0000 0.0000 0.0000  1.36
4 Hf 0.5000 0.7500 0.2500  1.36
5 Cl 0.9754 0.8750 0.3504  0.03
6 Cl 0.0246 0.3750 0.8996  0.03
7 Cl 0.5246 0.6496 0.6250  0.03
8 Cl 0.4754 0.1004 0.1250  0.03



Least stable: two)